Entry 1:
VASP calculation (GGA-PBE) on a relaxed K2NpZn2S4 crystal.

Summary:
The value obtained for the density of states at the Fermi level is 9.20 states/eV per cell. The total DFT energy (no corrections) is -0.1747 hartree per atom.

Unit cell a=7.760 b=7.760 c=7.694 alpha=108.05 beta=108.05 gamma=30.13
Fractional coordinates of all 9 atoms:
K 0.128 0.128 0.051
K 0.872 0.872 0.949
Np 0.000 0.000 0.500
Zn 0.330 0.330 0.516
Zn 0.670 0.670 0.484
S 0.207 0.207 0.670
S 0.479 0.479 0.740
S 0.521 0.521 0.260
S 0.793 0.793 0.330

***

Entry 2:
VASP calculation (GGA-PBE) on a relaxed K2ZrNp2S6 crystal.

Summary:
The value obtained for the density of states at the Fermi level is 21.14 states/eV per cell. The total DFT energy (no corrections) is -0.2587 hartree per atom.

Unit cell a=6.798 b=6.798 c=7.879 alpha=98.31 beta=98.31 gamma=119.63
Fractional coordinates of all 11 atoms:
K 0.168 0.832 0.000
K 0.832 0.168 0.000
Zr 0.000 0.000 0.500
Np 0.334 0.666 0.500
Np 0.666 0.334 0.500
S 0.064 0.386 0.694
S 0.253 0.253 0.305
S 0.386 0.064 0.694
S 0.614 0.936 0.306
S 0.747 0.747 0.695
S 0.936 0.614 0.306

***

Entry 3:
VASP calculation (GGA-PBE) on a relaxed K2Zr2NpS6 crystal.

Summary:
The value obtained for the density of states at the Fermi level is 10.70 states/eV per cell. The total DFT energy (no corrections) is -0.2458 hartree per atom.

Unit cell a=6.641 b=6.641 c=7.901 alpha=97.91 beta=97.91 gamma=120.34
Fractional coordinates of all 11 atoms:
K 0.165 0.835 0.000
K 0.835 0.165 0.000
Zr 0.334 0.666 0.500
Zr 0.666 0.334 0.500
Np 0.000 0.000 0.500
S 0.063 0.410 0.695
S 0.283 0.283 0.304
S 0.410 0.063 0.695
S 0.590 0.937 0.305
S 0.717 0.717 0.696
S 0.937 0.590 0.305

***

Entry 4:
VASP calculation (GGA-PBE) on a relaxed K4ZrNp3S8 crystal.

Summary:
The value obtained for the density of states at the Fermi level is 30.96 states/eV per cell. The total DFT energy (no corrections) is -0.2469 hartree per atom.

Unit cell a=8.718 b=8.718 c=8.718 alpha=54.65 beta=54.65 gamma=54.65
Fractional coordinates of all 16 atoms:
K 0.000 0.000 0.000
K 0.000 0.500 0.500
K 0.500 0.000 0.500
K 0.500 0.500 0.000
Zr 0.500 0.500 0.500
Np 0.000 0.000 0.500
Np 0.000 0.500 0.000
Np 0.500 0.000 0.000
S 0.235 0.235 0.235
S 0.245 0.727 0.727
S 0.273 0.273 0.755
S 0.273 0.755 0.273
S 0.727 0.245 0.727
S 0.727 0.727 0.245
S 0.755 0.273 0.273
S 0.765 0.765 0.765

***

Entry 5:
VASP calculation (GGA-PBE) on a relaxed K2ZrNpS4 crystal.

Summary:
The value obtained for the density of states at the Fermi level is 10.19 states/eV per cell. The total DFT energy (no corrections) is -0.2375 hartree per atom.

Unit cell a=6.786 b=3.923 c=7.756 alpha=90.00 beta=106.87 gamma=90.00
Fractional coordinates of all 8 atoms:
K 0.000 0.000 0.000
K 0.500 0.500 0.000
Zr 0.000 0.500 0.500
Np 0.500 0.000 0.500
S 0.222 0.000 0.700
S 0.253 0.500 0.297
S 0.747 0.500 0.703
S 0.778 0.000 0.300

***

Entry 6:
VASP calculation (GGA-PBE) on a relaxed K3ZrNp3S8 crystal.

Summary:
The value obtained for the density of states at the Fermi level is 28.73 states/eV per cell. The total DFT energy (no corrections) is -0.2582 hartree per atom.

Unit cell a=8.795 b=8.795 c=8.795 alpha=53.84 beta=53.84 gamma=53.84
Fractional coordinates of all 15 atoms:
K 0.000 0.500 0.500
K 0.500 0.000 0.500
K 0.500 0.500 0.000
Zr 0.500 0.500 0.500
Np 0.000 0.000 0.500
Np 0.000 0.500 0.000
Np 0.500 0.000 0.000
S 0.234 0.234 0.234
S 0.245 0.724 0.724
S 0.276 0.276 0.755
S 0.276 0.755 0.276
S 0.724 0.245 0.724
S 0.724 0.724 0.245
S 0.755 0.276 0.276
S 0.766 0.766 0.766

***

Entry 7:
VASP calculation (GGA-PBE) on a relaxed K4Np3SbSe8 crystal.

Summary:
The value obtained for the density of states at the Fermi level is 29.97 states/eV per cell. The total DFT energy (no corrections) is -0.2136 hartree per atom.

Unit cell a=9.111 b=9.111 c=9.111 alpha=56.04 beta=56.04 gamma=56.04
Fractional coordinates of all 16 atoms:
K 0.000 0.000 0.000
K 0.000 0.500 0.500
K 0.500 0.000 0.500
K 0.500 0.500 0.000
Np 0.000 0.000 0.500
Np 0.000 0.500 0.000
Np 0.500 0.000 0.000
Sb 0.500 0.500 0.500
Se 0.234 0.736 0.736
Se 0.235 0.235 0.235
Se 0.264 0.264 0.766
Se 0.264 0.766 0.264
Se 0.736 0.234 0.736
Se 0.736 0.736 0.234
Se 0.765 0.765 0.765
Se 0.766 0.264 0.264

***

Entry 8:
VASP calculation (GGA-PBE) on a relaxed K3NpSb3Se8 crystal.

Summary:
The value obtained for the density of states at the Fermi level is 4.08 states/eV per cell. The total DFT energy (no corrections) is -0.1672 hartree per atom.

Unit cell a=9.229 b=9.229 c=9.229 alpha=54.24 beta=54.24 gamma=54.24
Fractional coordinates of all 15 atoms:
K 0.000 0.500 0.500
K 0.500 0.000 0.500
K 0.500 0.500 0.000
Np 0.500 0.500 0.500
Sb 0.000 0.000 0.500
Sb 0.000 0.500 0.000
Sb 0.500 0.000 0.000
Se 0.236 0.236 0.236
Se 0.240 0.729 0.729
Se 0.271 0.271 0.760
Se 0.271 0.760 0.271
Se 0.729 0.240 0.729
Se 0.729 0.729 0.240
Se 0.760 0.271 0.271
Se 0.764 0.764 0.764

***

Entry 9:
VASP calculation (GGA-PBE) on a relaxed K4NpSc3Te8 crystal.

Summary:
The value obtained for the density of states at the Fermi level is 8.27 states/eV per cell. The total DFT energy (no corrections) is -0.1835 hartree per atom.

Unit cell a=9.634 b=9.634 c=9.634 alpha=54.03 beta=54.03 gamma=54.03
Fractional coordinates of all 16 atoms:
K 0.000 0.000 0.000
K 0.000 0.500 0.500
K 0.500 0.000 0.500
K 0.500 0.500 0.000
Np 0.500 0.500 0.500
Sc 0.000 0.000 0.500
Sc 0.000 0.500 0.000
Sc 0.500 0.000 0.000
Te 0.221 0.741 0.741
Te 0.232 0.232 0.232
Te 0.259 0.259 0.779
Te 0.259 0.779 0.259
Te 0.741 0.221 0.741
Te 0.741 0.741 0.221
Te 0.768 0.768 0.768
Te 0.779 0.259 0.259

***

Entry 10:
VASP calculation (GGA-PBE) on a relaxed K3Np2ScTe6 crystal.

Summary:
The value obtained for the density of states at the Fermi level is 18.47 states/eV per cell. The total DFT energy (no corrections) is -0.2033 hartree per atom.

Unit cell a=7.761 b=7.761 c=8.613 alpha=98.66 beta=98.66 gamma=120.01
Fractional coordinates of all 12 atoms:
K 0.000 0.000 0.000
K 0.330 0.670 0.000
K 0.670 0.330 0.000
Np 0.166 0.834 0.500
Np 0.834 0.166 0.500
Sc 0.500 0.500 0.500
Te 0.111 0.431 0.294
Te 0.249 0.249 0.707
Te 0.431 0.111 0.294
Te 0.569 0.889 0.706
Te 0.751 0.751 0.293
Te 0.889 0.569 0.706

***

Entry 11:
VASP calculation (GGA-PBE) on a relaxed K2NpSc2Te6 crystal.

Summary:
The value obtained for the density of states at the Fermi level is 3.91 states/eV per cell. The total DFT energy (no corrections) is -0.1955 hartree per atom.

Unit cell a=7.432 b=7.432 c=8.785 alpha=97.94 beta=97.94 gamma=120.22
Fractional coordinates of all 11 atoms:
K 0.164 0.836 0.000
K 0.836 0.164 0.000
Np 0.000 0.000 0.500
Sc 0.332 0.668 0.500
Sc 0.668 0.332 0.500
Te 0.067 0.408 0.700
Te 0.280 0.280 0.301
Te 0.408 0.067 0.700
Te 0.592 0.933 0.300
Te 0.720 0.720 0.699
Te 0.933 0.592 0.300

***

Entry 12:
VASP calculation (GGA-PBE) on a relaxed K4Np3ScTe8 crystal.

Summary:
The value obtained for the density of states at the Fermi level is 27.07 states/eV per cell. The total DFT energy (no corrections) is -0.2073 hartree per atom.

Unit cell a=9.711 b=9.711 c=9.711 alpha=55.29 beta=55.29 gamma=55.29
Fractional coordinates of all 16 atoms:
K 0.000 0.000 0.000
K 0.000 0.500 0.500
K 0.500 0.000 0.500
K 0.500 0.500 0.000
Np 0.000 0.000 0.500
Np 0.000 0.500 0.000
Np 0.500 0.000 0.000
Sc 0.500 0.500 0.500
Te 0.237 0.237 0.237
Te 0.248 0.729 0.729
Te 0.271 0.271 0.752
Te 0.271 0.752 0.271
Te 0.729 0.248 0.729
Te 0.729 0.729 0.248
Te 0.752 0.271 0.271
Te 0.763 0.763 0.763

***

Entry 13:
VASP calculation (GGA-PBE) on a relaxed KNpSe3 crystal.

Summary:
For the excess energy over the best structure of this formula in the dataset, the calculation gives 51.0 meV per atom. The value obtained for the density of states at the Fermi level is 18.25 states/eV per cell.

Unit cell a=7.348 b=7.348 c=9.103 alpha=104.09 beta=104.09 gamma=44.29
Fractional coordinates of all 10 atoms:
K 0.120 0.120 0.395
K 0.880 0.880 0.605
Np 0.370 0.370 0.082
Np 0.630 0.630 0.918
Se 0.158 0.158 0.940
Se 0.361 0.361 0.364
Se 0.421 0.421 0.811
Se 0.579 0.579 0.189
Se 0.639 0.639 0.636
Se 0.842 0.842 0.060

***

Entry 14:
VASP calculation (GGA-PBE) on a relaxed KNpSe3 crystal.

Summary:
For the excess energy over the best structure of this formula in the dataset, the calculation gives 34.5 meV per atom. The value obtained for the density of states at the Fermi level is 14.42 states/eV per cell.

Unit cell a=8.615 b=8.615 c=10.340 alpha=101.04 beta=101.04 gamma=27.94
Fractional coordinates of all 10 atoms:
K 0.103 0.103 0.424
K 0.897 0.897 0.576
Np 0.297 0.297 0.175
Np 0.703 0.703 0.825
Se 0.155 0.155 0.977
Se 0.263 0.263 0.694
Se 0.440 0.440 0.328
Se 0.560 0.560 0.672
Se 0.737 0.737 0.306
Se 0.845 0.845 0.023

***

Entry 15:
VASP calculation (GGA-PBE) on a relaxed K2Np2Se5 crystal.

Summary:
For the excess energy over the best structure of this formula in the dataset, the calculation gives 0.0 meV per atom. The value obtained for the density of states at the Fermi level is 32.97 states/eV per cell.

Unit cell a=8.992 b=8.992 c=7.898 alpha=90.00 beta=90.00 gamma=52.05
Fractional coordinates of all 18 atoms:
K 0.205 0.205 0.000
K 0.295 0.295 0.500
K 0.705 0.705 0.500
K 0.795 0.795 0.000
Np 0.160 0.840 0.660
Np 0.340 0.660 0.160
Np 0.660 0.340 0.840
Np 0.840 0.160 0.340
Se 0.000 0.000 0.000
Se 0.033 0.742 0.354
Se 0.242 0.533 0.854
Se 0.258 0.967 0.354
Se 0.467 0.758 0.854
Se 0.500 0.500 0.500
Se 0.533 0.242 0.146
Se 0.742 0.033 0.646
Se 0.758 0.467 0.146
Se 0.967 0.258 0.646

***

Entry 16:
VASP calculation (GGA-PBE) on a relaxed K2Np3Se8 crystal.

Summary:
The value obtained for the density of states at the Fermi level is 25.13 states/eV per cell. The total DFT energy (no corrections) is -0.2308 hartree per atom.

Unit cell a=9.698 b=9.698 c=4.664 alpha=90.00 beta=90.00 gamma=115.85
Fractional coordinates of all 13 atoms:
K 0.243 0.757 0.000
K 0.757 0.243 0.000
Np 0.208 0.208 0.500
Np 0.500 0.500 0.000
Np 0.792 0.792 0.500
Se 0.105 0.895 0.500
Se 0.163 0.362 0.000
Se 0.362 0.163 0.000
Se 0.401 0.599 0.500
Se 0.599 0.401 0.500
Se 0.638 0.837 0.000
Se 0.837 0.638 0.000
Se 0.895 0.105 0.500

***

Entry 17:
VASP calculation (GGA-PBE) on a relaxed KNp2Se4 crystal.

Summary:
The value obtained for the density of states at the Fermi level is 44.00 states/eV per cell. The total DFT energy (no corrections) is -0.2582 hartree per atom.

Unit cell a=7.197 b=7.197 c=14.275 alpha=90.00 beta=90.00 gamma=146.21
Fractional coordinates of all 14 atoms:
K 0.106 0.894 0.750
K 0.894 0.106 0.250
Np 0.366 0.634 0.565
Np 0.366 0.634 0.935
Np 0.634 0.366 0.065
Np 0.634 0.366 0.435
Se 0.000 0.000 0.000
Se 0.000 0.000 0.500
Se 0.265 0.735 0.109
Se 0.265 0.735 0.391
Se 0.424 0.576 0.750
Se 0.576 0.424 0.250
Se 0.735 0.265 0.609
Se 0.735 0.265 0.891

***

Entry 18:
VASP calculation (GGA-PBE) on a relaxed K3NpSe4 crystal.

Summary:
For the excess energy over the best structure of this formula in the dataset, the calculation gives 0.0 meV per atom. The value obtained for the density of states at the Fermi level is 12.03 states/eV per cell.

Unit cell a=8.115 b=9.154 c=7.513 alpha=90.00 beta=109.67 gamma=90.00
Fractional coordinates of all 16 atoms:
K 0.000 0.116 0.250
K 0.000 0.884 0.750
K 0.500 0.119 0.750
K 0.500 0.383 0.250
K 0.500 0.617 0.750
K 0.500 0.881 0.250
Np 0.000 0.381 0.750
Np 0.000 0.619 0.250
Se 0.194 0.400 0.501
Se 0.194 0.600 0.001
Se 0.220 0.174 0.956
Se 0.220 0.826 0.456
Se 0.780 0.174 0.544
Se 0.780 0.826 0.044
Se 0.806 0.400 0.999
Se 0.806 0.600 0.499

***

Entry 19:
VASP calculation (GGA-PBE) on a relaxed K2Np2Se5 crystal.

Summary:
For the excess energy over the best structure of this formula in the dataset, the calculation gives 206.3 meV per atom. The value obtained for the density of states at the Fermi level is 18.33 states/eV per cell.

Unit cell a=9.261 b=8.574 c=6.704 alpha=73.48 beta=62.57 gamma=43.95
Fractional coordinates of all 9 atoms:
K 0.224 0.224 0.776
K 0.776 0.776 0.224
Np 0.247 0.753 0.247
Np 0.753 0.247 0.753
Se 0.000 0.000 0.000
Se 0.127 0.127 0.373
Se 0.373 0.373 0.127
Se 0.627 0.627 0.873
Se 0.873 0.873 0.627

***

Entry 20:
VASP calculation (GGA-PBE) on a relaxed K3NpSe4 crystal.

Summary:
For the excess energy over the best structure of this formula in the dataset, the calculation gives 290.2 meV per atom. The value obtained for the density of states at the Fermi level is 12.18 states/eV per cell.

Unit cell a=8.249 b=8.249 c=8.249 alpha=90.00 beta=90.00 gamma=90.00
Fractional coordinates of all 8 atoms:
K 0.000 0.000 0.500
K 0.000 0.500 0.000
K 0.500 0.000 0.000
Np 0.000 0.000 0.000
Se 0.184 0.184 0.184
Se 0.184 0.816 0.816
Se 0.816 0.184 0.816
Se 0.816 0.816 0.184